(1)
Here is a relaxed NaIrPd crystal from the Open Quantum Materials Database. Energies are from PBE.

a = 6.039 Å, b = 6.039 Å, c = 6.039 Å
α = 90.00°, β = 90.00°, γ = 90.00°
Space group F-43m (No. 216)
One atom of each set of equivalent atoms:
Na: 0.000 0.000 0.000 x4
Ir: 0.250 0.250 0.750 x4
Pd: 0.250 0.250 0.250 x4

Calculated values
polymorph energy (0 for the lowest one)	0.540	eV per atom

***

(2)
Here is a relaxed Na3IrPd crystal from the Open Quantum Materials Database. Energies are from PBE.

a = 7.8497 Å, b = 7.8497 Å, c = 4.9514 Å
α = 90.00°, β = 90.00°, γ = 120.00°
Space group P-6c2 (No. 188)
One atom of each set of equivalent atoms:
Na: 0.0018 0.3318 0.2500 x6
Ir: 0.6667 0.3333 0.0000 x2
Pd: 0.3333 0.6667 0.0000 x2

***

(3)
Here is a relaxed NaIrPd crystal from the Open Quantum Materials Database. Energies are from PBE.

a = 6.154 Å, b = 6.154 Å, c = 6.154 Å
α = 90.00°, β = 90.00°, γ = 90.00°
Space group F-43m (No. 216)
One atom of each set of equivalent atoms:
Na: 0.000 0.000 0.000 x4
Ir: 0.000 0.000 0.500 x4
Pd: 0.250 0.250 0.750 x4

Calculated values
polymorph energy (0 for the lowest one)	0.000	eV per atom

***

(4)
Here is a relaxed Na2Tl4IrPd crystal from the Open Quantum Materials Database. Energies are from PBE.

a = 4.268 Å, b = 8.138 Å, c = 5.943 Å
α = 90.00°, β = 110.96°, γ = 90.00°
Space group Pm (No. 6)
One atom of each set of equivalent atoms:
Na: 0.000 0.000 0.000 x1
Na: 0.131 0.500 0.260 x1
Tl: 0.425 0.291 0.850 x2
Tl: 0.706 0.202 0.409 x2
Ir: 0.283 0.000 0.565 x1
Pd: 0.848 0.500 0.695 x1

***

(5)
Here is a relaxed NaPrIr crystal from the Open Quantum Materials Database. Energies are from PBE.

a = 6.805 Å, b = 6.805 Å, c = 6.805 Å
α = 90.00°, β = 90.00°, γ = 90.00°
Space group F-43m (No. 216)
One atom of each set of equivalent atoms:
Na: 0.000 0.000 0.000 x4
Pr: 0.250 0.250 0.750 x4
Ir: 0.000 0.000 0.500 x4

Calculated values
polymorph energy (0 for the lowest one)	0.397	eV per atom

***

(6)
Here is a relaxed NaPrIr crystal from the Open Quantum Materials Database. Energies are from PBE.

a = 6.808 Å, b = 6.808 Å, c = 6.808 Å
α = 90.00°, β = 90.00°, γ = 90.00°
Space group F-43m (No. 216)
One atom of each set of equivalent atoms:
Na: 0.000 0.000 0.000 x4
Pr: 0.000 0.000 0.500 x4
Ir: 0.250 0.250 0.250 x4

Calculated values
polymorph energy (0 for the lowest one)	0.000	eV per atom

***

(7)
Here is a relaxed NaPuIr crystal from the Open Quantum Materials Database. Energies are from PBE.

a = 6.597 Å, b = 6.597 Å, c = 6.597 Å
α = 90.00°, β = 90.00°, γ = 90.00°
Space group F-43m (No. 216)
One atom of each set of equivalent atoms:
Na: 0.000 0.000 0.000 x4
Pu: 0.250 0.250 0.750 x4
Ir: 0.000 0.000 0.500 x4

***

(8)
Here is a relaxed NaReIr crystal from the Open Quantum Materials Database. Energies are from PBE.

a = 5.991 Å, b = 5.991 Å, c = 5.991 Å
α = 90.00°, β = 90.00°, γ = 90.00°
Space group F-43m (No. 216)
One atom of each set of equivalent atoms:
Na: 0.000 0.000 0.000 x4
Re: 0.000 0.000 0.500 x4
Ir: 0.250 0.250 0.250 x4

Calculated values
polymorph energy (0 for the lowest one)	0.000	eV per atom

***

(9)
Here is a relaxed NaIr3S5 crystal from the Open Quantum Materials Database. Energies are from PBE.

a = 5.7308 Å, b = 5.7308 Å, c = 6.6329 Å
α = 90.00°, β = 90.00°, γ = 120.00°
Space group P6/mmm (No. 191)
One atom of each set of equivalent atoms:
Na: 0.0000 0.0000 0.0000 x1
Ir: 0.0000 0.5000 0.5000 x3
S: 0.0000 0.0000 0.5000 x1
S: 0.3333 0.6667 0.2474 x4

***

(10)
Here is a relaxed Na5IrS4 crystal from the Open Quantum Materials Database. Energies are from PBE.

a = 6.523 Å, b = 9.318 Å, c = 7.180 Å
α = 90.00°, β = 94.04°, γ = 90.00°
Space group P2_1/m (No. 11)
One atom of each set of equivalent atoms:
Na: 0.000 0.000 0.000 x2
Na: 0.083 0.250 0.699 x2
Na: 0.322 0.055 0.382 x4
Na: 0.490 0.750 0.011 x2
Ir: 0.195 0.750 0.663 x2
S: 0.104 0.250 0.164 x2
S: 0.293 0.520 0.756 x4
S: 0.353 0.750 0.387 x2

***

(11)
Here is a relaxed Na2IrS4 crystal from the Open Quantum Materials Database. Energies are from PBE.

a = 11.037 Å, b = 11.037 Å, c = 11.037 Å
α = 90.00°, β = 90.00°, γ = 90.00°
Space group Fd-3m (No. 227, origin choice 2)
One atom of each set of equivalent atoms:
Na: 0.000 0.000 0.000 x16
Ir: 0.125 0.125 0.625 x8
S: 0.011 0.011 0.739 x32

***

(12)
Here is a relaxed Na2Ir2SeS3 crystal from the Open Quantum Materials Database. Energies are from PBE.

a = 9.842 Å, b = 7.084 Å, c = 6.942 Å
α = 90.00°, β = 133.67°, γ = 90.00°
Space group C2 (No. 5)
One atom of each set of equivalent atoms:
Na: 0.138 0.000 0.381 x4
Ir: 0.138 0.481 0.894 x4
Se: 0.000 0.658 0.500 x2
S: 0.000 0.324 0.000 x2
S: 0.247 0.232 0.833 x4

***

(13)
Here is a relaxed NaSb5Ir3 crystal from the Open Quantum Materials Database. Energies are from PBE.

a = 5.6923 Å, b = 5.6923 Å, c = 8.2415 Å
α = 90.00°, β = 90.00°, γ = 120.00°
Space group P6/mmm (No. 191)
One atom of each set of equivalent atoms:
Na: 0.0000 0.0000 0.0000 x1
Sb: 0.0000 0.0000 0.5000 x1
Sb: 0.3333 0.6667 0.2335 x4
Ir: 0.0000 0.5000 0.5000 x3

***

(14)
Here is a relaxed NaSbIr crystal from the Open Quantum Materials Database. Energies are from PBE.

a = 6.300 Å, b = 6.300 Å, c = 6.300 Å
α = 90.00°, β = 90.00°, γ = 90.00°
Space group F-43m (No. 216)
One atom of each set of equivalent atoms:
Na: 0.000 0.000 0.000 x4
Sb: 0.250 0.250 0.250 x4
Ir: 0.250 0.250 0.750 x4

***

(15)
Here is a relaxed NaSbIr crystal from the Open Quantum Materials Database. Energies are from PBE.

a = 6.343 Å, b = 6.343 Å, c = 6.343 Å
α = 90.00°, β = 90.00°, γ = 90.00°
Space group F-43m (No. 216)
One atom of each set of equivalent atoms:
Na: 0.000 0.000 0.000 x4
Sb: 0.000 0.000 0.500 x4
Ir: 0.250 0.250 0.250 x4

***

(16)
Here is a relaxed NaScSbIr crystal from the Open Quantum Materials Database. Energies are from PBE.

a = 6.627 Å, b = 6.627 Å, c = 6.627 Å
α = 90.00°, β = 90.00°, γ = 90.00°
Space group F-43m (No. 216)
One atom of each set of equivalent atoms:
Na: 0.000 0.000 0.000 x4
Sc: 0.250 0.250 0.750 x4
Sb: 0.250 0.250 0.250 x4
Ir: 0.000 0.000 0.500 x4

Calculated values
polymorph energy (0 for the lowest one)	0.000	eV per atom

***

(17)
Here is a relaxed NaScSbIr crystal from the Open Quantum Materials Database. Energies are from PBE.

a = 6.771 Å, b = 6.771 Å, c = 6.771 Å
α = 90.00°, β = 90.00°, γ = 90.00°
Space group F-43m (No. 216)
One atom of each set of equivalent atoms:
Na: 0.000 0.000 0.000 x4
Sc: 0.000 0.000 0.500 x4
Sb: 0.250 0.250 0.250 x4
Ir: 0.250 0.250 0.750 x4

Calculated values
polymorph energy (0 for the lowest one)	0.260	eV per atom

***

(18)
Here is a relaxed NaTlSbIr crystal from the Open Quantum Materials Database. Energies are from PBE.

a = 6.862 Å, b = 6.862 Å, c = 6.862 Å
α = 90.00°, β = 90.00°, γ = 90.00°
Space group F-43m (No. 216)
One atom of each set of equivalent atoms:
Na: 0.000 0.000 0.000 x4
Tl: 0.250 0.250 0.250 x4
Sb: 0.250 0.250 0.750 x4
Ir: 0.000 0.000 0.500 x4

Calculated values
polymorph energy (0 for the lowest one)	0.000	eV per atom

***

(19)
Here is a relaxed NaTlSbIr crystal from the Open Quantum Materials Database. Energies are from PBE.

a = 7.029 Å, b = 7.029 Å, c = 7.029 Å
α = 90.00°, β = 90.00°, γ = 90.00°
Space group F-43m (No. 216)
One atom of each set of equivalent atoms:
Na: 0.000 0.000 0.000 x4
Tl: 0.000 0.000 0.500 x4
Sb: 0.250 0.250 0.750 x4
Ir: 0.250 0.250 0.250 x4

Calculated values
polymorph energy (0 for the lowest one)	0.393	eV per atom

***

(20)
Here is a relaxed NaYSbIr crystal from the Open Quantum Materials Database. Energies are from PBE.

a = 6.825 Å, b = 6.825 Å, c = 6.825 Å
α = 90.00°, β = 90.00°, γ = 90.00°
Space group F-43m (No. 216)
One atom of each set of equivalent atoms:
Na: 0.000 0.000 0.000 x4
Y: 0.250 0.250 0.250 x4
Sb: 0.250 0.250 0.750 x4
Ir: 0.000 0.000 0.500 x4

Calculated values
polymorph energy (0 for the lowest one)	0.000	eV per atom

***

Which raw total energy belongs to each record? In order, -3.80, -3.28, -4.34, -3.29, -4.60, -5.00, -7.57, -6.63, -5.54, -3.90, -4.31, -4.95, -5.43, -3.94, -4.73, -5.66, -5.40, -4.06, -3.67, -5.69 eV/atom.
Which total moment belongs to each record? In order, 2.558, 0.227, 7.255, 0.006, 0.057, 0.037, 22.725, 0.012, 0.320, 0.000, 0.030, 0.003, 0.012, 0.015, 0.000, 0.002, 0.018, 0.043, 0.007, 0.004 μB/cell.